Entry 1:
BaRh2Br: single point on PBEsol structure, meta-GGA SCAN.

Summary:
The value obtained for the total DFT energy (no corrections) is -31.7825 eV per atom. For the formation energy without anion corrections, the calculation gives -0.14 eV/atom. Its energy above the lowest structure with this stoichiometry is 0.00 eV/f.u.

abc: 3.8014 5.5958 5.5958
angles: 62.28 70.14 70.14
Last column: nearest neighbours and their distance in Å.
Sites, in units of the cell vectors:
Rh: 0.6755 0.8245 0.8245  2 Rh 2.41
Ba: 0.5025 0.4975 0.4975  8 Rh 3.27-3.46, 4 Br 3.33-3.34
Br: 0.3150 0.1850 0.1850  2 Rh 2.54
Rh: 0.0070 0.9930 0.9930  2 Rh 2.41, 2 Br 2.54


Entry 2:
BaRh2Br: single point on PBEsol structure, meta-GGA SCAN.

Summary:
The value obtained for the total DFT energy (no corrections) is -31.6928 eV per atom. For the formation energy without anion corrections, the calculation gives -0.05 eV/atom. Its energy above the lowest structure with this stoichiometry is 0.36 eV/f.u.

abc: 4.3757 4.6313 4.8861
angles: 94.49 90.00 90.00
Last column: nearest neighbours and their distance in Å.
Sites, in units of the cell vectors:
Rh: 0.0000 0.5646 0.7476  2 Rh 2.45-2.58, 2 Br 2.54
Ba: 0.5000 0.0000 0.5000  4 Br 3.23-3.50, 8 Rh 3.27-3.55
Rh: 0.0000 0.4354 0.2524  2 Rh 2.45-2.58, 2 Br 2.54
Br: 0.5000 0.5000 0.0000  4 Rh 2.54


Entry 3:
Ba2RhBr: single point on PBEsol structure, meta-GGA SCAN.

Summary:
The value obtained for the total DFT energy (no corrections) is -33.7226 eV per atom. For the formation energy without anion corrections, the calculation gives -0.64 eV/atom. Its energy above the lowest structure with this stoichiometry is 1.59 eV/f.u.

abc: 4.4610 4.4610 6.5552
angles: 109.89 109.89 90.00
Last column: nearest neighbours and their distance in Å.
Sites, in units of the cell vectors:
Rh: 0.2500 0.7500 0.5000  4 Ba 3.15
Ba: 0.7500 0.2500 0.5000  4 Rh 3.15
Br: 0.5000 0.5000 0.0000  4 Ba 3.15
Ba: 0.0000 0.0000 0.0000  4 Br 3.15


Entry 4:
Ba2RuBr: single point on PBEsol structure, meta-GGA SCAN.

Summary:
The value obtained for the total DFT energy (no corrections) is -33.8683 eV per atom. For the formation energy without anion corrections, the calculation gives -0.52 eV/atom. Its energy above the lowest structure with this stoichiometry is 0.00 eV/f.u.

abc: 3.6915 3.6915 8.4758
angles: 90.00 90.00 90.00
Last column: nearest neighbours and their distance in Å.
Sites, in units of the cell vectors:
Ba: 0.0000 0.0000 0.7222  4 Ru 3.22, 4 Br 3.52
Ru: 0.5000 0.5000 0.5000  8 Ba 3.22
Br: 0.5000 0.5000 0.0000  8 Ba 3.52, 4 Br 3.69
Ba: 0.0000 0.0000 0.2778  4 Ru 3.22, 4 Br 3.52


The lowest formation energy without anion corrections belongs to which entry? Ba2RhBr


Repeat the third record exactly.
Ba2RhBr: single point on PBEsol structure, meta-GGA SCAN.

Summary:
The value obtained for the total DFT energy (no corrections) is -33.7226 eV per atom. For the formation energy without anion corrections, the calculation gives -0.64 eV/atom. Its energy above the lowest structure with this stoichiometry is 1.59 eV/f.u.

abc: 4.4610 4.4610 6.5552
angles: 109.89 109.89 90.00
Last column: nearest neighbours and their distance in Å.
Sites, in units of the cell vectors:
Rh: 0.2500 0.7500 0.5000  4 Ba 3.15
Ba: 0.7500 0.2500 0.5000  4 Rh 3.15
Br: 0.5000 0.5000 0.0000  4 Ba 3.15
Ba: 0.0000 0.0000 0.0000  4 Br 3.15


What is the formation energy without anion corrections in the third record? -0.64 eV/atom